1.
The following is a DFT calculation (GGA-PBE) of a relaxed TmCo2SiB crystal.

Cell lengths 3.7126, 3.7126, 9.1753 Å; angles 90.00, 90.00, 90.00 degrees
Last column: nearest neighbours and their distance in Å.
Space group I4mm (No. 107)
Unique sites:
Tm 0.0000 0.0000 0.0000 [2 per cell]  8 Co 2.82-3.08, 4 B 2.86, 4 Si 2.88
Co 0.0000 0.5000 0.2680 [4 per cell]  2 B 2.10, 2 Si 2.26
Si 0.0000 0.0000 0.6281 [2 per cell]  4 Co 2.26, 1 B 2.32
B 0.0000 0.0000 0.3755 [2 per cell]  4 Co 2.10, 1 Si 2.32

***

2.
The following is a DFT calculation (GGA-PBE) of a relaxed YInAu6 crystal.

Cell lengths 5.0474, 5.9774, 5.1998 Å; angles 90.00, 90.00, 90.00 degrees
Last column: nearest neighbours and their distance in Å.
Space group Pmm2 (No. 25)
Unique sites:
Y 0.0000 0.0000 0.0000 [1 per cell]  12 Au 2.99-3.08
In 0.5000 0.5000 0.3163 [1 per cell]  12 Au 2.97-3.06
Au 0.0000 0.2576 0.4996 [2 per cell]  8 Au 2.90-3.09, 2 Y 3.02, 2 In 3.06
Au 0.0000 0.5000 0.9985 [1 per cell]  8 Au 2.97-3.07, 2 Y 2.99, 2 In 3.02
Au 0.5000 0.0000 0.3263 [1 per cell]  8 Au 2.98-3.09, 2 In 2.99, 2 Y 3.04
Au 0.5000 0.2511 0.8213 [2 per cell]  2 In 2.97-3.02, 8 Au 2.98-3.07, 2 Y 3.08

***

3.
The following is a DFT calculation (GGA-PBE) of a relaxed NdBiAsO crystal.

Computed properties:
ΔE to the lowest computed polymorph: 200 meV/atom

Cell lengths 4.9131, 6.4142, 6.7024 Å; angles 90.00, 90.00, 90.00 degrees
Last column: nearest neighbours and their distance in Å.
Space group Pmc2_1 (No. 26)
Unique sites:
Nd 0.0000 0.1611 0.0000 [2 per cell]  2 O 2.25-2.27
Bi 0.5000 0.2466 0.3709 [2 per cell]  2 O 2.55
As 0.5000 0.3122 0.8038 [2 per cell]  2 Bi 2.87-2.93, 2 Nd 2.95
O 0.0000 0.1454 0.3376 [2 per cell]  2 Nd 2.25-2.27

***

4.
The following is a DFT calculation (GGA-PBE) of a relaxed Pr3Sm3CoTe2 crystal.

Computed properties:
ΔE to the lowest computed polymorph: 41 meV/atom

Cell lengths 8.6714, 8.6714, 3.9209 Å; angles 90.00, 90.00, 120.00 degrees
Last column: nearest neighbours and their distance in Å.
Space group P-62m (No. 189)
Unique sites:
Pr 0.0000 0.7608 0.0000 [3 per cell]  2 Co 2.85
Sm 0.0000 0.4105 0.5000 [3 per cell]  4 Te 3.27, 1 Co 3.56, 6 Pr 3.62-3.67
Co 0.0000 0.0000 0.5000 [1 per cell]  6 Pr 2.85
Te 0.3333 0.6667 0.0000 [2 per cell]  6 Sm 3.27, 3 Pr 3.37

***

5.
The following is a DFT calculation (GGA-PBE) of a relaxed KCuReTe3 crystal.

Cell lengths 3.9833, 15.9583, 10.4295 Å; angles 90.00, 90.00, 90.00 degrees
Last column: nearest neighbours and their distance in Å.
Space group Cmcm (No. 63)
Unique sites:
K 0.0000 0.2381 0.2500 [4 per cell]  8 Te 3.54-3.81, 2 Cu 3.82
Cu 0.0000 0.4660 0.7500 [4 per cell]  4 Te 2.56-2.60
Re 0.0000 0.0000 0.0000 [4 per cell]  6 Te 2.76-2.84
Te 0.0000 0.0704 0.7500 [4 per cell]  2 Cu 2.60, 2 Re 2.84
Te 0.0000 0.3833 0.5395 [8 per cell]  1 Cu 2.56, 2 Re 2.76

***

6.
The following is a DFT calculation (GGA-PBE) of a relaxed Gd3Ni19B10 crystal.

Cell lengths 13.1948, 8.7642, 5.7939 Å; angles 90.00, 91.43, 90.00 degrees
Last column: nearest neighbours and their distance in Å.
Space group C2/m (No. 12)
Unique sites:
Gd 0.0000 0.0000 0.0000 [2 per cell]  14 Ni 2.79-2.90
Gd 0.1258 0.5000 0.3887 [4 per cell]  6 B 2.80-2.95, 11 Ni 2.83-3.07
Ni 0.0000 0.0000 0.5000 [2 per cell]  4 B 2.27, 2 Ni 2.42
Ni 0.0293 0.2584 0.6989 [8 per cell]  3 B 2.08-2.17
Ni 0.1218 0.5000 0.8767 [4 per cell]  4 B 2.05-2.13
Ni 0.1283 0.2500 0.0744 [8 per cell]  4 B 2.09-2.16
Ni 0.1626 0.0000 0.7019 [4 per cell]  4 B 2.10-2.30
Ni 0.1827 0.0000 0.2715 [4 per cell]  4 B 2.04-2.12
Ni 0.2183 0.2632 0.6985 [8 per cell]  4 B 2.13-2.35, 1 Ni 2.39
B 0.0000 0.3828 0.0000 [4 per cell]  6 Ni 2.05-2.10, 1 B 2.06
B 0.1181 0.1818 0.4315 [8 per cell]  6 Ni 2.04-2.27
B 0.2454 0.1027 0.9754 [8 per cell]  1 B 1.80

***

7.
The following is a DFT calculation (GGA-PBE) of a relaxed RbTbZnSe3 crystal.

Cell lengths 9.2760, 4.1770, 10.1081 Å; angles 90.00, 109.70, 90.00 degrees
Last column: nearest neighbours and their distance in Å.
Space group P2_1/m (No. 11)
Unique sites:
Rb 0.2167 0.2500 0.2429 [2 per cell]  7 Se 3.45-3.72
Tb 0.3277 0.7500 0.8622 [2 per cell]  6 Se 2.83-3.05
Zn 0.0825 0.2500 0.6096 [2 per cell]  4 Se 2.44-2.55
Se 0.1091 0.2500 0.8586 [2 per cell]  1 Zn 2.44
Se 0.2004 0.7500 0.5423 [2 per cell]  3 Zn 2.55
Se 0.4688 0.7500 0.1583 [2 per cell]  3 Tb 2.83-2.87

***

8.
The following is a DFT calculation (GGA-PBE) of a relaxed HfUSn crystal.

Computed properties:
ΔE to the lowest computed polymorph: 0 meV/atom

Cell lengths 6.8131, 6.8131, 6.8131 Å; angles 90.00, 90.00, 90.00 degrees
Last column: nearest neighbours and their distance in Å.
Space group F-43m (No. 216)
Unique sites:
Hf 0.0000 0.0000 0.0000 [4 per cell]  4 Sn 2.95, 4 U 2.95
U 0.2500 0.2500 0.2500 [4 per cell]  4 Hf 2.95
Sn 0.2500 0.2500 0.7500 [4 per cell]  4 Hf 2.95

***

9.
The following is a DFT calculation (GGA-PBE) of a relaxed NaPrCoTe3 crystal.

Computed properties:
ΔE to the lowest computed polymorph: 0 meV/atom

Cell lengths 12.2582, 4.3676, 12.9318 Å; angles 90.00, 90.00, 90.00 degrees
Last column: nearest neighbours and their distance in Å.
Space group Pnma (No. 62)
Unique sites:
Na 0.1858 0.2500 0.0056 [4 per cell]  7 Te 3.20-3.53, 2 Co 3.56
Pr 0.0294 0.2500 0.3151 [4 per cell]  7 Te 3.17-3.36
Co 0.2487 0.2500 0.7139 [4 per cell]  4 Te 2.56
Te 0.0579 0.7500 0.1397 [4 per cell]  1 Co 2.56
Te 0.1141 0.2500 0.5626 [4 per cell]  1 Co 2.56
Te 0.2072 0.7500 0.8097 [4 per cell]  2 Co 2.56

***

10.
The following is a DFT calculation (GGA-PBE) of a relaxed Sn10Te10Pd crystal.

Cell lengths 11.9221, 12.5665, 9.1409 Å; angles 90.00, 90.00, 90.00 degrees
Last column: nearest neighbours and their distance in Å.
Space group Pbam (No. 55)
Unique sites:
Sn 0.0000 0.0000 0.2486 [4 per cell]  6 Te 3.08-3.31
Sn 0.1270 0.3192 0.0000 [4 per cell]  1 Pd 2.73, 3 Te 2.95-2.99
Sn 0.1315 0.5748 0.2407 [8 per cell]  1 Pd 2.86, 3 Te 3.02-3.20
Sn 0.2487 0.8250 0.5000 [4 per cell]  4 Te 2.96-3.04
Te 0.0033 0.3334 0.5000 [4 per cell]  3 Sn 2.96-3.09
Te 0.1496 0.0851 0.0000 [4 per cell]  3 Sn 2.95-3.08
Te 0.1695 0.8092 0.1900 [8 per cell]  4 Sn 2.99-3.18
Te 0.1892 0.0606 0.5000 [4 per cell]  6 Sn 3.04-3.40
Pd 0.0000 0.5000 0.0000 [2 per cell]  6 Sn 2.73-2.86

***

11.
The following is a DFT calculation (GGA-PBE) of a relaxed Zr3AsP2 crystal.

Cell lengths 3.7866, 3.7866, 9.2930 Å; angles 90.00, 90.00, 120.00 degrees
Last column: nearest neighbours and their distance in Å.
Space group P-3m1 (No. 164)
Unique sites:
Zr 0.0000 0.0000 0.0000 [1 per cell]  6 P 2.66
Zr 0.3333 0.6667 0.6816 [2 per cell]  3 P 2.62, 3 As 2.76
As 0.0000 0.0000 0.5000 [1 per cell]  6 Zr 2.76
P 0.3333 0.6667 0.1624 [2 per cell]  6 Zr 2.62-2.66

***

12.
The following is a DFT calculation (GGA-PBE) of a relaxed YAlAgAu crystal.

Computed properties:
ΔE to the lowest computed polymorph: 0 meV/atom

Cell lengths 6.8275, 6.8275, 6.8275 Å; angles 90.00, 90.00, 90.00 degrees
Last column: nearest neighbours and their distance in Å.
Space group F-43m (No. 216)
Unique sites:
Y 0.0000 0.0000 0.0000 [4 per cell]  4 Ag 2.96, 4 Au 2.96
Al 0.0000 0.0000 0.5000 [4 per cell]  4 Ag 2.96, 4 Au 2.96
Ag 0.2500 0.2500 0.2500 [4 per cell]  4 Al 2.96, 4 Y 2.96
Au 0.2500 0.2500 0.7500 [4 per cell]  4 Al 2.96, 4 Y 2.96

***

13.
The following is a DFT calculation (GGA-PBE) of a relaxed Gd2Al3In3 crystal.

Cell lengths 6.5397, 6.5397, 4.8782 Å; angles 90.00, 90.00, 120.00 degrees
Last column: nearest neighbours and their distance in Å.
Space group P-6m2 (No. 187)
Unique sites:
Gd 0.0000 0.0000 0.0000 [1 per cell]  6 Al 3.23, 6 In 3.27
Gd 0.3333 0.6667 0.5000 [1 per cell]  6 In 3.16, 6 Al 3.28
Al 0.3741 0.1870 0.5000 [3 per cell]  2 Al 2.87, 4 In 2.98
In 0.5101 0.0202 0.0000 [3 per cell]  4 Al 2.98, 2 In 3.07, 4 Gd 3.16-3.27

***

14.
The following is a DFT calculation (GGA-PBE) of a relaxed TbTmAlTe3 crystal.

Computed properties:
ΔE to the lowest computed polymorph: 0 meV/atom

Cell lengths 4.0591, 15.3290, 10.4535 Å; angles 90.00, 90.00, 90.00 degrees
Last column: nearest neighbours and their distance in Å.
Space group Cmcm (No. 63)
Unique sites:
Tb 0.0000 0.0000 0.0000 [4 per cell]  6 Te 3.15-3.24, 4 Al 3.33
Tm 0.0000 0.2184 0.2500 [4 per cell]  6 Te 3.08-3.15
Al 0.0000 0.4775 0.7500 [4 per cell]  4 Te 2.90-3.03
Te 0.0000 0.1246 0.7500 [4 per cell]  2 Al 3.03, 2 Tm 3.15, 2 Tb 3.24
Te 0.0000 0.3465 0.5498 [8 per cell]  1 Al 2.90, 2 Tm 3.08, 2 Tb 3.15

***

15.
The following is a DFT calculation (GGA-PBE) of a relaxed Lu2Os crystal.

Computed properties:
Formation enthalpy at 0 K: 0.98 eV per atom

Cell lengths 7.9798, 7.9798, 7.9798 Å; angles 90.00, 90.00, 90.00 degrees
Last column: nearest neighbours and their distance in Å.
Space group Fd-3m (No. 227, origin choice 2)
Unique sites:
Lu 0.0000 0.0000 0.0000 [16 per cell]  6 Lu 2.82
Os 0.1250 0.1250 0.6250 [8 per cell]  12 Lu 3.31, 4 Os 3.46

***

16.
The following is a DFT calculation (GGA-PBE) of a relaxed RbCuMoPt crystal.

Computed properties:
ΔE to the lowest computed polymorph: 0 meV/atom

Cell lengths 6.5911, 6.5911, 6.5911 Å; angles 90.00, 90.00, 90.00 degrees
Last column: nearest neighbours and their distance in Å.
Space group F-43m (No. 216)
Unique sites:
Rb 0.0000 0.0000 0.0000 [4 per cell]  4 Mo 2.85, 4 Cu 2.85
Cu 0.2500 0.2500 0.7500 [4 per cell]  4 Rb 2.85, 4 Pt 2.85
Mo 0.2500 0.2500 0.2500 [4 per cell]  4 Rb 2.85, 4 Pt 2.85
Pt 0.0000 0.0000 0.5000 [4 per cell]  4 Mo 2.85, 4 Cu 2.85

***

17.
The following is a DFT calculation (GGA-PBE) of a relaxed NdGdAu crystal.

Computed properties:
ΔE to the lowest computed polymorph: 0 meV/atom
Formation enthalpy at 0 K: 0.08 eV per atom

Cell lengths 6.9789, 6.9789, 6.9789 Å; angles 90.00, 90.00, 90.00 degrees
Last column: nearest neighbours and their distance in Å.
Space group F-43m (No. 216)
Unique sites:
Nd 0.0000 0.0000 0.0000 [4 per cell]  4 Gd 3.02
Gd 0.2500 0.2500 0.7500 [4 per cell]  4 Nd 3.02, 4 Au 3.02
Au 0.0000 0.0000 0.5000 [4 per cell]  4 Gd 3.02

***

18.
The following is a DFT calculation (GGA-PBE) of a relaxed Ho2CIBr crystal.

Cell lengths 3.7984, 3.7984, 10.5762 Å; angles 90.00, 90.00, 120.00 degrees
Last column: nearest neighbours and their distance in Å.
Space group P3m1 (No. 156)
Unique sites:
Ho 0.0000 0.0000 0.0000 [1 per cell]  3 C 2.56
Ho 0.3333 0.6667 0.7517 [1 per cell]  3 C 2.56
C 0.6667 0.3333 0.8758 [1 per cell]  6 Ho 2.56
I 0.0000 0.0000 0.5459 [1 per cell]  3 Ho 3.09
Br 0.3333 0.6667 0.1810 [1 per cell]  3 Ho 2.91

***

19.
The following is a DFT calculation (GGA-PBE) of a relaxed DyEr2Lu4Ni2Te2 crystal.

Computed properties:
ΔE to the lowest computed polymorph: 11 meV/atom

Cell lengths 3.8170, 15.3332, 9.4471 Å; angles 90.00, 90.00, 90.00 degrees
Last column: nearest neighbours and their distance in Å.
Space group Imm2 (No. 44)
Unique sites:
Dy 0.0000 0.0000 0.0000 [2 per cell]  3 Te 3.17-3.20
Er 0.0000 0.3145 0.3758 [4 per cell]  2 Ni 2.75
Lu 0.0000 0.1346 0.5815 [4 per cell]  2 Ni 2.75
Lu 0.0000 0.3534 0.7287 [4 per cell]  2 Ni 2.80, 2 Te 3.13
Ni 0.0000 0.2364 0.0691 [4 per cell]  4 Lu 2.75-2.80, 2 Er 2.75
Te 0.0000 0.0000 0.3389 [2 per cell]  6 Lu 3.08-3.13, 1 Dy 3.20
Te 0.0000 0.5000 0.2318 [2 per cell]  4 Lu 3.15, 2 Er 3.15, 2 Dy 3.17

***

20.
The following is a DFT calculation (GGA-PBE) of a relaxed CsGdZnTe2Se crystal.

Cell lengths 4.3811, 16.8812, 11.3427 Å; angles 90.00, 90.00, 90.00 degrees
Last column: nearest neighbours and their distance in Å.
Space group Cmcm (No. 63)
Unique sites:
Cs 0.0000 0.2319 0.2500 [4 per cell]  2 Se 3.82, 6 Te 3.90-3.94
Gd 0.0000 0.5000 0.0000 [4 per cell]  2 Se 2.94, 4 Te 3.11
Zn 0.0000 0.0389 0.7500 [4 per cell]  2 Se 2.63, 2 Te 2.65
Te 0.0000 0.1253 0.5552 [8 per cell]  1 Zn 2.65
Se 0.0000 0.4532 0.7500 [4 per cell]  2 Zn 2.63

***

For the records above, the corresponding VASP energy values read -6.82, -3.99, -5.76, -5.30, -4.52, -6.25, -4.28, -7.74, -4.52, -3.82, -8.11, -4.61, -3.94, -4.60, -5.78, -4.28, -4.15, -5.45, -5.15, -3.97 eV per atom.